[1]
Density functional theory data (GGA-PBE) for crystalline TlAg2S2 at its relaxed geometry.

Results
The space group is No. 139. As for the energy relative to the elements, uncorrected: 0.004 eV/atom. For the energy above the most stable polymorph in this dataset, the calculation gives 0.042 eV per atom. Its crystal system is tetragonal.

abc: 6.237 6.237 6.237
angles: 132.33 132.33 69.70
Positions (direct):
1 Tl 0.000 0.000 0.000
2 Ag 0.299 0.299 0.000
3 Ag 0.701 0.701 0.000
4 S 0.250 0.750 0.500
5 S 0.750 0.250 0.500

***

[2]
Density functional theory data (GGA-PBE) for crystalline Tl2AgS at its relaxed geometry.

Results
The space group is No. 122. As for the energy relative to the elements, uncorrected: 0.012 eV/atom. For the energy above the most stable polymorph in this dataset, the calculation gives 0.000 eV per atom. Its crystal system is tetragonal.

abc: 6.511 6.511 6.511
angles: 103.25 103.25 122.79
Positions (direct):
1 Tl 0.110 0.125 0.485
2 Tl 0.375 0.890 0.015
3 Tl 0.640 0.625 0.515
4 Tl 0.875 0.360 0.985
5 Ag 0.250 0.750 0.500
6 Ag 0.500 0.500 0.000
7 S 0.000 0.000 0.000
8 S 0.750 0.250 0.500

***

[3]
Density functional theory data (GGA-PBE) for crystalline TlAgS6 at its relaxed geometry.

Results
The space group is No. 2. As for the energy relative to the elements, uncorrected: 0.041 eV/atom. Its crystal system is triclinic.

abc: 4.294 6.678 7.751
angles: 84.49 75.24 81.52
Positions (direct):
1 Tl 0.000 0.000 0.000
2 Ag 0.500 0.500 0.000
3 S 0.223 0.391 0.800
4 S 0.300 0.051 0.261
5 S 0.388 0.772 0.373
6 S 0.612 0.228 0.627
7 S 0.700 0.949 0.739
8 S 0.777 0.609 0.200

***

[4]
Density functional theory data (GGA-PBE) for crystalline Tl3Ag2S3 at its relaxed geometry.

Results
The space group is No. 63. As for the energy relative to the elements, uncorrected: -0.138 eV/atom. Its crystal system is orthorhombic.

abc: 7.033 7.033 14.586
angles: 90.00 90.00 145.94
Positions (direct):
1 Tl 0.070 0.930 0.625
2 Tl 0.070 0.930 0.875
3 Tl 0.371 0.629 0.750
4 Tl 0.629 0.371 0.250
5 Tl 0.930 0.070 0.125
6 Tl 0.930 0.070 0.375
7 Ag 0.218 0.782 0.080
8 Ag 0.218 0.782 0.420
9 Ag 0.782 0.218 0.580
10 Ag 0.782 0.218 0.920
11 S 0.284 0.716 0.250
12 S 0.378 0.622 0.525
13 S 0.378 0.622 0.975
14 S 0.622 0.378 0.025
15 S 0.622 0.378 0.475
16 S 0.716 0.284 0.750

***

[5]
Density functional theory data (GGA-PBE) for crystalline Tl4AgS2 at its relaxed geometry.

Results
The space group is No. 166. As for the energy relative to the elements, uncorrected: -0.140 eV/atom. Its crystal system is trigonal.

abc: 9.762 9.762 9.762
angles: 30.76 30.76 30.76
Positions (direct):
1 Tl 0.120 0.120 0.120
2 Tl 0.293 0.293 0.293
3 Tl 0.707 0.707 0.707
4 Tl 0.880 0.880 0.880
5 Ag 0.500 0.500 0.500
6 S 0.413 0.413 0.413
7 S 0.587 0.587 0.587

***

[6]
Density functional theory data (GGA-PBE) for crystalline TlAg2S at its relaxed geometry.

Results
The space group is No. 122. As for the energy relative to the elements, uncorrected: 0.084 eV/atom. Its crystal system is tetragonal.

abc: 8.944 8.944 8.944
angles: 147.91 147.91 46.02
Positions (direct):
1 Tl 0.000 0.000 0.000
2 Tl 0.750 0.250 0.500
3 Ag 0.224 0.625 0.099
4 Ag 0.375 0.474 0.599
5 Ag 0.526 0.125 0.901
6 Ag 0.875 0.776 0.401
7 S 0.250 0.750 0.500
8 S 0.500 0.500 0.000

***

[7]
Density functional theory data (GGA-PBE) for crystalline TlAg2S6 at its relaxed geometry.

Results
The space group is No. 2. As for the energy relative to the elements, uncorrected: 0.017 eV/atom. Its crystal system is triclinic.

abc: 5.295 5.720 8.695
angles: 74.94 89.50 75.67
Positions (direct):
1 Tl 0.000 0.000 0.000
2 Ag 0.130 0.762 0.714
3 Ag 0.870 0.238 0.286
4 S 0.188 0.834 0.394
5 S 0.384 0.354 0.861
6 S 0.445 0.173 0.680
7 S 0.555 0.827 0.320
8 S 0.616 0.646 0.139
9 S 0.812 0.166 0.606

***

[8]
Density functional theory data (GGA-PBE) for crystalline TlAg3S3 at its relaxed geometry.

Results
The space group is No. 223. As for the energy relative to the elements, uncorrected: 0.021 eV/atom. For the energy above the most stable polymorph in this dataset, the calculation gives 0.036 eV per atom. Its crystal system is cubic.

abc: 7.057 7.057 7.057
angles: 90.00 90.00 90.00
Positions (direct):
1 Tl 0.000 0.000 0.000
2 Tl 0.500 0.500 0.500
3 Ag 0.000 0.250 0.500
4 Ag 0.000 0.750 0.500
5 Ag 0.250 0.500 0.000
6 Ag 0.500 0.000 0.250
7 Ag 0.500 0.000 0.750
8 Ag 0.750 0.500 0.000
9 S 0.000 0.500 0.250
10 S 0.000 0.500 0.750
11 S 0.250 0.000 0.500
12 S 0.500 0.250 0.000
13 S 0.500 0.750 0.000
14 S 0.750 0.000 0.500

***

[9]
Density functional theory data (GGA-PBE) for crystalline TlAg2S2 at its relaxed geometry.

Results
The space group is No. 115. As for the energy relative to the elements, uncorrected: 0.007 eV/atom. For the energy above the most stable polymorph in this dataset, the calculation gives 0.044 eV per atom. Its crystal system is tetragonal.

abc: 4.614 4.614 7.240
angles: 90.00 90.00 90.00
Positions (direct):
1 Tl 0.000 0.000 0.000
2 Ag 0.500 0.500 0.303
3 Ag 0.500 0.500 0.697
4 S 0.000 0.500 0.782
5 S 0.500 0.000 0.218

***

[10]
Density functional theory data (GGA-PBE) for crystalline TlAg2S at its relaxed geometry.

Results
The space group is No. 11. As for the energy relative to the elements, uncorrected: 0.011 eV/atom. Its crystal system is monoclinic.

abc: 4.088 7.178 6.127
angles: 90.00 109.33 90.00
Positions (direct):
1 Tl 0.045 0.250 0.095
2 Tl 0.955 0.750 0.905
3 Ag 0.374 0.047 0.743
4 Ag 0.374 0.453 0.743
5 Ag 0.626 0.547 0.257
6 Ag 0.626 0.953 0.257
7 S 0.224 0.750 0.454
8 S 0.776 0.250 0.546

***

[11]
Density functional theory data (GGA-PBE) for crystalline Tl3AgS8 at its relaxed geometry.

Results
The space group is No. 5. As for the energy relative to the elements, uncorrected: -0.033 eV/atom. Its crystal system is monoclinic.

abc: 7.649 7.649 7.986
angles: 119.68 119.68 85.62
Positions (direct):
1 Tl 0.000 0.000 0.000
2 Tl 0.643 0.357 0.000
3 Tl 0.839 0.161 0.500
4 Ag 0.211 0.789 0.500
5 S 0.019 0.547 0.083
6 S 0.185 0.334 0.030
7 S 0.286 0.288 0.592
8 S 0.341 0.011 0.417
9 S 0.453 0.981 0.917
10 S 0.666 0.815 0.970
11 S 0.712 0.714 0.408
12 S 0.989 0.659 0.583

***

[12]
Density functional theory data (GGA-PBE) for crystalline TlAg6S4 at its relaxed geometry.

Results
The space group is No. 121. As for the energy relative to the elements, uncorrected: -0.001 eV/atom. For the energy above the most stable polymorph in this dataset, the calculation gives 0.000 eV per atom. Its crystal system is tetragonal.

abc: 6.923 6.923 6.923
angles: 119.76 119.76 90.41
Positions (direct):
1 Tl 0.000 0.000 0.000
2 Ag 0.000 0.500 0.500
3 Ag 0.186 0.490 0.000
4 Ag 0.490 0.186 0.000
5 Ag 0.500 0.000 0.500
6 Ag 0.510 0.510 0.696
7 Ag 0.814 0.814 0.304
8 S 0.163 0.163 0.564
9 S 0.401 0.837 0.000
10 S 0.599 0.599 0.436
11 S 0.837 0.401 0.000

***

[13]
Density functional theory data (GGA-PBE) for crystalline TlAg2S3 at its relaxed geometry.

Results
The space group is No. 43. As for the energy relative to the elements, uncorrected: -0.044 eV/atom. Its crystal system is orthorhombic.

abc: 13.731 7.196 13.079
angles: 79.50 31.02 69.48
Positions (direct):
1 Tl 0.072 0.428 0.089
2 Tl 0.161 0.839 0.178
3 Tl 0.428 0.072 0.411
4 Tl 0.839 0.161 0.822
5 Ag 0.246 0.246 0.254
6 Ag 0.332 0.672 0.338
7 Ag 0.498 0.498 0.502
8 Ag 0.591 0.912 0.578
9 Ag 0.672 0.332 0.659
10 Ag 0.748 0.748 0.752
11 Ag 0.912 0.591 0.918
12 Ag 0.996 0.996 0.004
13 S 0.040 0.211 0.795
14 S 0.125 0.631 0.867
15 S 0.211 0.040 0.954
16 S 0.296 0.455 0.039
17 S 0.383 0.873 0.125
18 S 0.455 0.296 0.210
19 S 0.548 0.693 0.288
20 S 0.631 0.125 0.377
21 S 0.693 0.548 0.471
22 S 0.779 0.962 0.557
23 S 0.873 0.383 0.619
24 S 0.962 0.779 0.702

***

[14]
Density functional theory data (GGA-PBE) for crystalline Tl4Ag5S6 at its relaxed geometry.

Results
The space group is No. 36. As for the energy relative to the elements, uncorrected: -0.093 eV/atom. Its crystal system is orthorhombic.

abc: 10.435 10.435 16.187
angles: 90.00 90.00 157.09
Positions (direct):
1 Tl 0.013 0.987 0.500
2 Tl 0.018 0.982 0.284
3 Tl 0.179 0.821 0.805
4 Tl 0.187 0.813 0.452
5 Tl 0.813 0.187 0.952
6 Tl 0.821 0.179 0.305
7 Tl 0.982 0.018 0.784
8 Tl 0.987 0.013 0.000
9 Ag 0.141 0.859 0.113
10 Ag 0.283 0.717 0.132
11 Ag 0.357 0.643 0.754
12 Ag 0.383 0.617 0.484
13 Ag 0.437 0.563 0.158
14 Ag 0.563 0.437 0.658
15 Ag 0.617 0.383 0.984
16 Ag 0.643 0.357 0.254
17 Ag 0.717 0.283 0.632
18 Ag 0.859 0.141 0.613
19 S 0.134 0.866 0.616
20 S 0.220 0.780 0.989
21 S 0.221 0.779 0.268
22 S 0.396 0.604 0.904
23 S 0.414 0.586 0.336
24 S 0.437 0.563 0.629
25 S 0.563 0.437 0.129
26 S 0.586 0.414 0.836
27 S 0.604 0.396 0.404
28 S 0.779 0.221 0.768
29 S 0.780 0.220 0.489
30 S 0.866 0.134 0.116

***

[15]
Density functional theory data (GGA-PBE) for crystalline Tl4AgS4 at its relaxed geometry.

Results
The space group is No. 121. As for the energy relative to the elements, uncorrected: -0.117 eV/atom. Its crystal system is tetragonal.

abc: 8.409 8.409 8.409
angles: 134.25 134.25 66.70
Positions (direct):
1 Tl 0.000 0.500 0.500
2 Tl 0.242 0.242 0.000
3 Tl 0.500 0.000 0.500
4 Tl 0.758 0.758 0.000
5 Ag 0.500 0.500 0.000
6 S 0.158 0.637 0.000
7 S 0.363 0.363 0.521
8 S 0.637 0.158 0.000
9 S 0.842 0.842 0.479

***

[16]
Density functional theory data (GGA-PBE) for crystalline TlAg2S2 at its relaxed geometry.

Results
The space group is No. 139. As for the energy relative to the elements, uncorrected: -0.038 eV/atom. For the energy above the most stable polymorph in this dataset, the calculation gives 0.000 eV per atom. Its crystal system is tetragonal.

abc: 6.821 6.821 6.821
angles: 143.09 143.09 53.18
Positions (direct):
1 Tl 0.000 0.000 0.000
2 Ag 0.250 0.750 0.500
3 Ag 0.750 0.250 0.500
4 S 0.371 0.371 0.000
5 S 0.629 0.629 0.000

***

[17]
Density functional theory data (GGA-PBE) for crystalline Tl3AgS2 at its relaxed geometry.

Results
The space group is No. 12. As for the energy relative to the elements, uncorrected: -0.248 eV/atom. For the energy above the most stable polymorph in this dataset, the calculation gives 0.000 eV per atom. Its crystal system is monoclinic.

abc: 8.860 8.860 11.726
angles: 122.09 122.09 27.34
Positions (direct):
1 Tl 0.050 0.050 0.246
2 Tl 0.232 0.232 0.640
3 Tl 0.352 0.352 0.001
4 Tl 0.648 0.648 0.999
5 Tl 0.768 0.768 0.360
6 Tl 0.950 0.950 0.754
7 Ag 0.426 0.426 0.351
8 Ag 0.574 0.574 0.649
9 S 0.147 0.147 0.818
10 S 0.392 0.392 0.546
11 S 0.608 0.608 0.454
12 S 0.853 0.853 0.182

***

[18]
Density functional theory data (GGA-PBE) for crystalline TlAg3S3 at its relaxed geometry.

Results
The space group is No. 148. As for the energy relative to the elements, uncorrected: -0.015 eV/atom. For the energy above the most stable polymorph in this dataset, the calculation gives 0.000 eV per atom. Its crystal system is trigonal.

abc: 8.140 8.140 8.140
angles: 52.22 52.22 52.22
Positions (direct):
1 Tl 0.167 0.167 0.167
2 Tl 0.833 0.833 0.833
3 Ag 0.139 0.372 0.628
4 Ag 0.372 0.628 0.139
5 Ag 0.372 0.861 0.628
6 Ag 0.628 0.139 0.372
7 Ag 0.628 0.372 0.861
8 Ag 0.861 0.628 0.372
9 S 0.027 0.804 0.422
10 S 0.196 0.578 0.973
11 S 0.422 0.027 0.804
12 S 0.578 0.973 0.196
13 S 0.804 0.422 0.027
14 S 0.973 0.196 0.578

***

[19]
Density functional theory data (GGA-PBE) for crystalline TlAg3S2 at its relaxed geometry.

Results
The space group is No. 60. As for the energy relative to the elements, uncorrected: -0.115 eV/atom. For the energy above the most stable polymorph in this dataset, the calculation gives 0.000 eV per atom. Its crystal system is orthorhombic.

abc: 8.703 8.920 6.958
angles: 90.00 90.00 90.00
Positions (direct):
1 Tl 0.000 0.093 0.250
2 Tl 0.000 0.907 0.750
3 Tl 0.500 0.407 0.750
4 Tl 0.500 0.593 0.250
5 Ag 0.000 0.335 0.750
6 Ag 0.000 0.665 0.250
7 Ag 0.187 0.403 0.113
8 Ag 0.187 0.597 0.613
9 Ag 0.313 0.097 0.613
10 Ag 0.313 0.903 0.113
11 Ag 0.500 0.165 0.250
12 Ag 0.500 0.835 0.750
13 Ag 0.687 0.097 0.887
14 Ag 0.687 0.903 0.387
15 Ag 0.813 0.403 0.387
16 Ag 0.813 0.597 0.887
17 S 0.181 0.330 0.484
18 S 0.181 0.670 0.984
19 S 0.319 0.170 0.984
20 S 0.319 0.830 0.484
21 S 0.681 0.170 0.516
22 S 0.681 0.830 0.016
23 S 0.819 0.330 0.016
24 S 0.819 0.670 0.516

***

[20]
Density functional theory data (GGA-PBE) for crystalline Tl2AgS3 at its relaxed geometry.

Results
The space group is No. 71. As for the energy relative to the elements, uncorrected: -0.109 eV/atom. Its crystal system is orthorhombic.

abc: 6.844 6.844 6.844
angles: 146.16 131.28 60.64
Positions (direct):
1 Tl 0.170 0.170 0.000
2 Tl 0.830 0.830 0.000
3 Ag 0.500 0.500 0.000
4 S 0.000 0.500 0.500
5 S 0.341 0.841 0.500
6 S 0.659 0.159 0.500